Entry from Alexandria via LeMat-Bulk: a geometry-optimized LiTb2Ni12P3 structure (PBE-GGA).

POSCAR file:
```
LiTb2Ni12P3
1.0
4.1904 2.4193 3.9158
-4.1904 2.4193 3.9158
0.0000 -4.8387 3.9158
Li Tb Ni P
1 2 12 3
Direct
0.0000 0.0000 0.0000
0.3471 0.3471 0.3471
0.6529 0.6529 0.6529
0.1018 0.6229 0.6229
0.1789 0.1789 0.6919
0.1789 0.6919 0.1789
0.3081 0.8211 0.8211
0.3771 0.3771 0.8982
0.3771 0.8982 0.3771
0.6229 0.1018 0.6229
0.6229 0.6229 0.1018
0.6919 0.1789 0.1789
0.8211 0.3081 0.8211
0.8211 0.8211 0.3081
0.8982 0.3771 0.3771
0.0000 0.0000 0.5000
0.0000 0.5000 0.0000
0.5000 0.0000 0.0000
```

ΔH_f (0 K) = -204 meV per atom
M_tot = 0.000 μB per atom
SG = R-3m (166)

Entry from Alexandria via LeMat-Bulk: a geometry-optimized LiTcNiP2 structure (PBE-GGA).

POSCAR file:
```
LiTcNiP2
1.0
-1.9340 1.9340 4.7693
1.9340 -1.9340 4.7693
1.9340 1.9340 -4.7693
Li Tc Ni P
1 1 1 2
Direct
0.0000 0.0000 0.0000
0.7500 0.2500 0.5000
0.2500 0.7500 0.5000
0.3814 0.3814 0.0000
0.6186 0.6186 0.0000
```

ΔH_f (0 K) = -580 meV per atom
M_tot = 0.000 μB per atom
SG = I-4m2 (119)

Entry from Alexandria via LeMat-Bulk: a geometry-optimized LiTcNiP structure (PBE-GGA).

POSCAR file:
```
LiTcNiP
1.0
0.0000 2.8200 2.8200
2.8200 0.0000 2.8200
2.8200 2.8200 0.0000
Li Tc Ni P
1 1 1 1
Direct
0.0000 0.0000 0.0000
0.7500 0.7500 0.7500
0.2500 0.2500 0.2500
0.5000 0.5000 0.5000
```

ΔH_f (0 K) = -331 meV per atom
M_tot = 0.000 μB per atom
SG = F-43m (216)

Entry from Alexandria via LeMat-Bulk: a geometry-optimized Li2ThNi2P2 structure (PBE-GGA).

POSCAR file:
```
Li2ThNi2P2
1.0
1.9748 1.1401 7.8305
-1.9748 1.1401 7.8305
0.0000 -2.2803 7.8305
Li Th Ni P
2 1 2 2
Direct
0.1407 0.1407 0.1407
0.8593 0.8593 0.8593
0.0000 0.0000 0.0000
0.4211 0.4211 0.4211
0.5789 0.5789 0.5789
0.2496 0.2496 0.2496
0.7504 0.7504 0.7504
```

ΔH_f (0 K) = -901 meV per atom
M_tot = 0.000 μB per atom
SG = R-3m (166)